(1)
YHf3 PBE-GGA optimized geometry; space group = Pmm2; excess energy over the best structure of this formula in the dataset = 0.000 eV/atom
1.0
3.2742 0.0000 0.0000
0.0000 5.1566 0.0000
0.0000 0.0000 5.7528
Y Hf
1 3
Cartesian
0.0000 0.0000 0.0000 Y
0.0000 2.5783 3.7836 Hf
1.6371 0.0000 2.8811 Hf
1.6371 2.5783 1.0937 Hf

(2)
LaCdSO6 PBE-GGA optimized geometry; E = -5.883 eV per atom; space group = P312
1.0
5.3041 0.0000 0.0000
-2.6520 4.5935 0.0000
0.0000 0.0000 4.8731
La Cd S O
1 1 1 6
Cartesian
0.0000 0.0000 0.0000 La
0.0000 3.0623 2.4366 Cd
2.6521 1.5312 2.4366 S
1.9525 0.3618 3.4256 O
1.2896 1.5100 1.4475 O
3.3516 0.3618 1.4475 O
1.9891 2.7217 3.4256 O
4.0145 1.5100 3.4256 O
3.3150 2.7217 1.4475 O

Number 1: mass density 10.674 g/cm3. Number 2: mass density 5.306 g/cm3.